Record 1
This record from Alexandria via LeMat-Bulk describes a geometry-optimized Ba2TlAgN structure. The functional is PBE.

The calculation puts the total energy at -3.615 eV/atom.

The space group is P4/mmm (No. 123) and the conventional cell measures 5.8521, 5.8521 and 4.2687 Å, with angles of 90.00, 90.00 and 90.00 degrees. The distinct sites, in fractional coordinates, are Ba at (0.0000, 0.5000, 0.0000), Tl at (0.0000, 0.0000, 0.5000), Ag at (0.5000, 0.5000, 0.5000) and N at (0.5000, 0.5000, 0.0000).

***

Record 2
This record from Alexandria via LeMat-Bulk describes a geometry-optimized Dy2Ni2Au structure. The functional is PBE.

For the offset from the most stable computed form, the calculation gives 0.0283 eV per atom. For the energy of formation, the calculation gives -592 meV/atom.

The space group is P4/mbm (No. 127) and the conventional cell measures 7.2273, 7.2273 and 3.6390 Å, with angles of 90.00, 90.00 and 90.00 degrees. The distinct sites, in fractional coordinates, are Dy at (0.1782, 0.3218, 0.0000), Ni at (0.1195, 0.6195, 0.5000) and Au at (0.0000, 0.0000, 0.5000).

***

Record 3
This record from Alexandria via LeMat-Bulk describes a geometry-optimized CaMn2Zn2 structure. The functional is PBE.

For the offset from the most stable computed form, the calculation gives 0.0000 eV per atom. For the energy of formation, the calculation gives 259 meV/atom.

The space group is P4/mbm (No. 127) and the conventional cell measures 7.5289, 7.5289 and 2.7464 Å, with angles of 90.00, 90.00 and 90.00 degrees. The distinct sites, in fractional coordinates, are Ca at (0.0000, 0.0000, 0.0000), Mn at (0.0945, 0.4055, 0.0000) and Zn at (0.1887, 0.6887, 0.5000).

***

no.,size of the total moment (μB per cell)
1,0.20
2,0.00
3,1.75